Entry 1:
Li3Sn2Ge2Pd4 | GGA-PBE | relaxed

As for the volume: 16.86 Å³/atom. The total energy is -49.8 eV per cell. As for the spin magnetization: 0.00 μB/f.u. For the formation enthalpy at 0 K, the calculation gives -6.018 eV/f.u.

It has space group P-3m1 (No. 164), with a = 4.5030 Å, b = 4.5030 Å, c = 10.5613 Å, α = 90.00°, β = 90.00° and γ = 120.00°. Symmetry generates all atoms from Li at (0.0000, 0.0000, 0.0000), Li at (0.0000, 0.0000, 0.2576), Sn at (0.3333, 0.6667, 0.5878), Ge at (0.3333, 0.6667, 0.0918), Pd at (0.3333, 0.6667, 0.3274) and Pd at (0.3333, 0.6667, 0.8511).

=====

Entry 2:
MgAg4Ru | GGA-PBE | relaxed

As for the volume: 18.30 Å³/atom. The total energy is -79.6 eV per cell. As for the spin magnetization: 0.00 μB/f.u. For the formation enthalpy at 0 K, the calculation gives 2.375 eV/f.u.

It has space group F-43m (No. 216), with a = 7.602 Å, b = 7.602 Å, c = 7.602 Å, α = 90.00°, β = 90.00° and γ = 90.00°. Symmetry generates all atoms from Mg at (0.000, 0.000, 0.000), Ag at (0.125, 0.125, 0.375) and Ru at (0.250, 0.250, 0.750).